(1)
# MgTlPb

A PBEsol-optimized structure of MgTlPb (meta-GGA SCAN, the Alexandria database).

Results
The value obtained for the total magnetization is 0.00 μB/f.u. The final energy is -153.31 eV per cell. Its symmetry is I4mm. As for the energy of formation from the pure elements: -0.067 eV per atom.

abc: 3.4348 3.4348 7.1374
angles: 103.92 103.92 90.00
Atoms (fractional coordinates):
Tl 0.3424 0.3424 0.6848
Mg 0.9995 0.9995 0.9991
Pb 0.6580 0.6580 0.3161


(2)
# MgTl2Pb

A PBEsol-optimized structure of MgTl2Pb (meta-GGA SCAN, the Alexandria database).

Results
The value obtained for the total magnetization is 0.00 μB/f.u. The final energy is -225.48 eV per cell. Its symmetry is Cmmm. As for the energy of formation from the pure elements: -0.002 eV per atom.

abc: 3.3724 3.3724 10.4129
angles: 90.00 90.00 114.12
Atoms (fractional coordinates):
Mg 0.5000 0.5000 0.5000
Pb 0.5000 0.5000 0.0000
Tl 0.0000 0.0000 0.7341
Tl 0.0000 0.0000 0.2659


(3)
# MgTl2Pb

A PBEsol-optimized structure of MgTl2Pb (meta-GGA SCAN, the Alexandria database).

Results
The value obtained for the total magnetization is 0.00 μB/f.u. The final energy is -225.42 eV per cell. Its symmetry is C2/m. As for the energy of formation from the pure elements: 0.012 eV per atom.

abc: 3.3735 5.9050 6.3787
angles: 115.83 102.52 95.91
Atoms (fractional coordinates):
Tl 0.5000 0.5000 0.5000
Tl 0.0000 0.0000 0.5000
Mg 0.0000 0.5000 0.0000
Pb 0.5000 0.0000 0.0000


(4)
# MgTl2Pb

A PBEsol-optimized structure of MgTl2Pb (meta-GGA SCAN, the Alexandria database).

Results
The value obtained for the total magnetization is 0.00 μB/f.u. The final energy is -225.55 eV per cell. Its symmetry is P4/mmm. As for the energy of formation from the pure elements: -0.019 eV per atom.

abc: 3.6953 3.6953 7.8010
angles: 90.00 90.00 90.00
Atoms (fractional coordinates):
Tl 0.0000 0.0000 0.2260
Tl 0.0000 0.0000 0.7740
Pb 0.5000 0.5000 0.5000
Mg 0.5000 0.5000 0.0000


(5)
# MgTl2Pb

A PBEsol-optimized structure of MgTl2Pb (meta-GGA SCAN, the Alexandria database).

Results
The value obtained for the total magnetization is 0.00 μB/f.u. The final energy is -225.49 eV per cell. Its symmetry is F-43m. As for the energy of formation from the pure elements: -0.005 eV per atom.

abc: 5.3619 5.3619 5.3619
angles: 60.00 60.00 60.00
Atoms (fractional coordinates):
Tl 0.0000 0.0000 0.0000
Tl 0.7500 0.7500 0.7500
Pb 0.2500 0.2500 0.2500
Mg 0.5000 0.5000 0.5000


(6)
# MgTlPb

A PBEsol-optimized structure of MgTlPb (meta-GGA SCAN, the Alexandria database).

Results
The value obtained for the total magnetization is 0.00 μB/f.u. The final energy is -153.14 eV per cell. Its symmetry is P3m1. As for the energy of formation from the pure elements: -0.008 eV per atom.

abc: 3.3878 5.2386 5.2386
angles: 120.00 90.00 90.00
Atoms (fractional coordinates):
Pb 0.6765 0.3333 0.6667
Mg 0.0864 0.0000 0.0000
Tl 0.2371 0.6667 0.3333


(7)
# MgTl2Pb

A PBEsol-optimized structure of MgTl2Pb (meta-GGA SCAN, the Alexandria database).

Results
The value obtained for the total magnetization is 0.00 μB/f.u. The final energy is -225.49 eV per cell. Its symmetry is I4/mmm. As for the energy of formation from the pure elements: -0.004 eV per atom.

abc: 4.8450 4.8450 5.7151
angles: 115.08 115.08 90.00
Atoms (fractional coordinates):
Mg 0.5000 0.5000 0.0000
Pb 0.0000 0.0000 0.0000
Tl 0.7500 0.2500 0.5000
Tl 0.2500 0.7500 0.5000


(8)
# MgTl2Pb

A PBEsol-optimized structure of MgTl2Pb (meta-GGA SCAN, the Alexandria database).

Results
The value obtained for the total magnetization is 0.00 μB/f.u. The final energy is -225.50 eV per cell. Its symmetry is P2/m. As for the energy of formation from the pure elements: -0.007 eV per atom.

abc: 3.3958 5.1735 6.3726
angles: 90.00 104.03 90.00
Atoms (fractional coordinates):
Tl 0.6733 0.0000 0.7594
Tl 0.3267 0.0000 0.2406
Mg 0.5000 0.5000 0.0000
Pb 0.0000 0.5000 0.5000


(9)
# MgTl2Pb

A PBEsol-optimized structure of MgTl2Pb (meta-GGA SCAN, the Alexandria database).

Results
The value obtained for the total magnetization is 0.00 μB/f.u. The final energy is -225.56 eV per cell. Its symmetry is Cmm2. As for the energy of formation from the pure elements: -0.023 eV per atom.

abc: 3.3717 3.3717 10.4196
angles: 90.00 90.00 113.01
Atoms (fractional coordinates):
Mg 0.0000 0.0000 0.5035
Tl 0.0000 0.0000 0.9958
Tl 0.5000 0.5000 0.7354
Pb 0.5000 0.5000 0.2652


(10)
# MgTlPb

A PBEsol-optimized structure of MgTlPb (meta-GGA SCAN, the Alexandria database).

Results
The value obtained for the total magnetization is 0.00 μB/f.u. The final energy is -153.27 eV per cell. Its symmetry is Imm2. As for the energy of formation from the pure elements: -0.051 eV per atom.

abc: 3.4469 4.4968 5.8429
angles: 112.63 107.16 90.00
Atoms (fractional coordinates):
Mg 0.9989 0.9989 0.9977
Pb 0.6624 0.6624 0.3248
Tl 0.3388 0.3388 0.6775


(11)
# MgTl2Pb

A PBEsol-optimized structure of MgTl2Pb (meta-GGA SCAN, the Alexandria database).

Results
The value obtained for the total magnetization is 0.00 μB/f.u. The final energy is -225.61 eV per cell. Its symmetry is Immm. As for the energy of formation from the pure elements: -0.034 eV per atom.

abc: 3.4794 5.5731 6.4370
angles: 115.65 105.68 90.00
Atoms (fractional coordinates):
Pb 0.0000 0.5000 0.0000
Tl 0.7662 0.7662 0.5323
Tl 0.2338 0.2338 0.4677
Mg 0.5000 0.0000 0.0000


(12)
# MgTl2Pb

A PBEsol-optimized structure of MgTl2Pb (meta-GGA SCAN, the Alexandria database).

Results
The value obtained for the total magnetization is 0.00 μB/f.u. The final energy is -225.52 eV per cell. Its symmetry is Pmmm. As for the energy of formation from the pure elements: -0.012 eV per atom.

abc: 3.7076 5.3340 5.4693
angles: 90.00 90.00 90.00
Atoms (fractional coordinates):
Mg 0.5000 0.0000 0.5000
Tl 0.0000 0.0000 0.0000
Tl 0.5000 0.5000 0.0000
Pb 0.0000 0.5000 0.5000


(13)
# MgTlPb

A PBEsol-optimized structure of MgTlPb (meta-GGA SCAN, the Alexandria database).

Results
The value obtained for the total magnetization is 0.00 μB/f.u. The final energy is -153.17 eV per cell. Its symmetry is Fmm2. As for the energy of formation from the pure elements: -0.018 eV per atom.

abc: 3.3709 3.3709 8.2999
angles: 96.07 96.07 118.63
Atoms (fractional coordinates):
Pb 0.6607 0.6607 0.3214
Mg 0.9990 0.9990 0.9981
Tl 0.3403 0.3403 0.6805


(14)
# MgPb3W

A PBEsol-optimized structure of MgPb3W (meta-GGA SCAN, the Alexandria database).

Results
The value obtained for the total magnetization is 4.20 μB/f.u. The final energy is -294.61 eV per cell. Its symmetry is Pm-3m. As for the energy of formation from the pure elements: 1.478 eV per atom.

abc: 5.2982 5.2982 5.2982
angles: 90.00 90.00 90.00
Atoms (fractional coordinates):
Pb 0.5000 0.0000 0.0000
Pb 0.0000 0.0000 0.5000
Pb 0.0000 0.5000 0.0000
Mg 0.0000 0.0000 0.0000
W 0.5000 0.5000 0.5000


(15)
# MgPbW2

A PBEsol-optimized structure of MgPbW2 (meta-GGA SCAN, the Alexandria database).

Results
The value obtained for the total magnetization is 0.00 μB/f.u. The final energy is -217.06 eV per cell. Its symmetry is Immm. As for the energy of formation from the pure elements: 0.767 eV per atom.

abc: 3.3432 4.5370 5.4633
angles: 114.53 107.82 90.00
Atoms (fractional coordinates):
Mg 0.0000 0.5000 0.0000
W 0.2487 0.2487 0.4974
W 0.7513 0.7513 0.5026
Pb 0.5000 0.0000 0.0000


(16)
# MgPbW2

A PBEsol-optimized structure of MgPbW2 (meta-GGA SCAN, the Alexandria database).

Results
The value obtained for the total magnetization is 0.00 μB/f.u. The final energy is -217.18 eV per cell. Its symmetry is C2/m. As for the energy of formation from the pure elements: 0.737 eV per atom.

abc: 3.1722 4.7896 5.1645
angles: 98.62 107.89 90.00
Atoms (fractional coordinates):
W 0.7496 0.7135 0.4992
W 0.2504 0.2865 0.5008
Mg 0.0000 0.5000 0.0000
Pb 0.5000 0.0000 0.0000


(17)
# Y2MgPb2

A PBEsol-optimized structure of Y2MgPb2 (meta-GGA SCAN, the Alexandria database).

Results
The value obtained for the total magnetization is 0.00 μB/f.u. The final energy is -213.14 eV per cell. Its symmetry is I4/mmm. As for the energy of formation from the pure elements: -0.184 eV per atom.

abc: 5.9058 6.2851 5.9058
angles: 61.98 90.00 118.02
Atoms (fractional coordinates):
Y 0.2500 0.5000 0.2500
Y 0.7500 0.5000 0.7500
Mg 0.0000 0.0000 0.0000
Pb 0.3322 0.6643 0.6678
Pb 0.6678 0.3357 0.3322


(18)
# YMgPb

A PBEsol-optimized structure of YMgPb (meta-GGA SCAN, the Alexandria database).

Results
The value obtained for the total magnetization is 0.00 μB/f.u. The final energy is -109.04 eV per cell. Its symmetry is P3m1. As for the energy of formation from the pure elements: -0.149 eV per atom.

abc: 3.4480 3.4480 7.9461
angles: 90.00 90.00 120.00
Atoms (fractional coordinates):
Mg 0.0000 0.0000 0.9894
Y 0.6667 0.3333 0.3366
Pb 0.3333 0.6667 0.6739


(19)
# YMg3Pb

A PBEsol-optimized structure of YMg3Pb (meta-GGA SCAN, the Alexandria database).

Results
The value obtained for the total magnetization is 0.04 μB/f.u. The final energy is -117.19 eV per cell. Its symmetry is Pm-3m. As for the energy of formation from the pure elements: 0.272 eV per atom.

abc: 5.3472 5.3472 5.3472
angles: 90.00 90.00 90.00
Atoms (fractional coordinates):
Mg 0.0000 0.0000 0.5000
Mg 0.5000 0.0000 0.0000
Mg 0.0000 0.5000 0.0000
Pb 0.0000 0.0000 0.0000
Y 0.5000 0.5000 0.5000


(20)
# Y2MgPb

A PBEsol-optimized structure of Y2MgPb (meta-GGA SCAN, the Alexandria database).

Results
The value obtained for the total magnetization is 1.85 μB/f.u. The final energy is -136.55 eV per cell. Its symmetry is F-43m. As for the energy of formation from the pure elements: -0.027 eV per atom.

abc: 5.3554 5.3554 5.3554
angles: 60.00 60.00 60.00
Atoms (fractional coordinates):
Y 0.7500 0.7500 0.7500
Y 0.0000 0.0000 0.0000
Mg 0.5000 0.5000 0.5000
Pb 0.2500 0.2500 0.2500